PBE Sm3Hg2Ru, relaxed; total DFT energy (no corrections) = -4.403 eV per atom; E_form = -0.3965 eV/atom; polymorph energy (0 for the lowest one) = 0 meV per atom
1.0
5.182 0.000 0.000
0.000 7.592 0.000
-2.573 0.000 7.677
Sm Hg Ru
6 4 2
direct
0.000 0.234 0.000
0.000 0.766 0.000
0.326 0.225 0.652
0.326 0.775 0.652
0.674 0.225 0.348
0.674 0.775 0.348
0.167 0.500 0.331
0.500 0.000 0.000
0.500 0.500 0.000
0.833 0.500 0.669
0.164 0.000 0.330
0.836 0.000 0.670